# 1
Entry from Alexandria: a relaxed TiNi2Ru crystal (PBE).

Summary:
Total magnetization (Bohr magnetons per cell): 0.000
Formation enthalpy at 0 K (eV/atom): -0.1214
Crystal system: cubic

Cell lengths 5.9185, 5.9185, 5.9185 Å; angles 90.00, 90.00, 90.00 degrees
With the nearest neighbours (Å) after each atom.
Space group Fm-3m (No. 225)
Asymmetric unit:
Ti: 0.0000 0.0000 0.0000 x4  8 Ni 2.56
Ni: 0.2500 0.2500 0.2500 x8  4 Ru 2.56, 4 Ti 2.56
Ru: 0.0000 0.0000 0.5000 x4  8 Ni 2.56

=====

# 2
Entry from Alexandria: a relaxed Ti2NiRu crystal (PBE).

Summary:
Total magnetization (Bohr magnetons per cell): 0.000
Formation enthalpy at 0 K (eV/atom): -0.0487
Crystal system: tetragonal

Cell lengths 6.6960, 6.6960, 5.3754 Å; angles 90.00, 90.00, 90.00 degrees
With the nearest neighbours (Å) after each atom.
Space group I-42d (No. 122)
Asymmetric unit:
Ti: 0.2468 0.2500 0.1250 x8  2 Ni 2.45, 2 Ru 2.48, 2 Ti 2.69
Ni: 0.0000 0.0000 0.0000 x4  4 Ti 2.45, 2 Ru 2.69
Ru: 0.0000 0.0000 0.5000 x4  4 Ti 2.48, 2 Ni 2.69

=====

# 3
Entry from Alexandria: a relaxed TiNiRu crystal (PBE).

Summary:
Total magnetization (Bohr magnetons per cell): 0.006
Formation enthalpy at 0 K (eV/atom): -0.2752
Crystal system: tetragonal
Energy above the lowest structure with this stoichiometry (kJ per mole of atoms): 0.0

Cell lengths 3.0566, 3.0566, 8.8031 Å; angles 90.00, 90.00, 90.00 degrees
With the nearest neighbours (Å) after each atom.
Space group I4mm (No. 107)
Asymmetric unit:
Ti: 0.0000 0.0000 0.0000 x2  4 Ru 2.57, 4 Ni 2.58
Ni: 0.0000 0.0000 0.3402 x2  4 Ti 2.58, 5 Ru 2.69-2.80
Ru: 0.0000 0.0000 0.6583 x2  4 Ti 2.57, 5 Ni 2.69-2.80

=====

# 4
Entry from Alexandria: a relaxed TiNi2Ru crystal (PBE).

Summary:
Total magnetization (Bohr magnetons per cell): 0.000
Formation enthalpy at 0 K (eV/atom): 0.0933
Crystal system: tetragonal

Cell lengths 3.5249, 3.5249, 17.7271 Å; angles 90.00, 90.00, 90.00 degrees
With the nearest neighbours (Å) after each atom.
Space group I-42d (No. 122)
Asymmetric unit:
Ti: 0.0000 0.0000 0.0000 x4  4 Ru 2.49, 4 Ni 2.55
Ni: 0.2463 0.2500 0.6250 x8  4 Ni 2.47-2.51, 2 Ru 2.54, 2 Ti 2.55
Ru: 0.0000 0.0000 0.5000 x4  4 Ti 2.49, 4 Ni 2.54

=====

- The highest formation enthalpy at 0 K belongs to which entry?
  number 4